Material: TeHOs3
Method: DFT, PBE
State: optimized geometry

* E: -36.1 eV for the cell shown
* space group: Pm-3m (221)
* total magnetization: 0.0 μB/cell

a b c (Å): 4.0334 4.0334 4.0334
angles (deg): 90.00 90.00 90.00
Fractional coordinates of all 5 atoms:
Os 0.0000 0.0000 0.5000
Os 0.5000 0.0000 0.0000
H 0.0000 0.0000 0.0000
Te 0.5000 0.5000 0.5000
Os 0.0000 0.5000 0.0000